Density functional theory data (PBE-GGA) for crystalline ZnPd5Au6 at its relaxed geometry.

The density is 14.9 g/cm³. As for the total energy: -4.055 eV/atom. The density of states at the Fermi level comes out at 6.20 states/eV/cell. The magnetic moment is 0.0000 μB/atom. The space group is Immm, No. 71. Its crystal system is orthorhombic.

a = 7.512 Å, b = 7.512 Å, c = 7.512 Å
α = 148.45°, β = 114.32°, γ = 74.69°
Fractional coordinates of all 12 atoms:
Zn: 0.000 0.000 0.000
Pd: 0.157 0.657 0.500
Pd: 0.330 0.330 0.000
Pd: 0.500 0.000 0.500
Pd: 0.670 0.670 0.000
Pd: 0.843 0.343 0.500
Au: 0.084 0.833 0.251
Au: 0.256 0.500 0.756
Au: 0.418 0.167 0.251
Au: 0.582 0.833 0.749
Au: 0.744 0.500 0.244
Au: 0.916 0.167 0.749

Density functional theory data (PBE-GGA) for crystalline ZnPd8Au3 at its relaxed geometry.

The density is 10.8 g/cm³. As for the total energy: -4.014 eV/atom. The density of states at the Fermi level comes out at 17.87 states/eV/cell. The magnetic moment is 0.0000 μB/atom. The space group is I-42m, No. 121. Its crystal system is tetragonal.

a = 6.851 Å, b = 6.851 Å, c = 6.851 Å
α = 118.76°, β = 118.76°, γ = 92.15°
Fractional coordinates of all 12 atoms:
Zn: 0.000 0.000 0.000
Pd: 0.088 0.088 0.733
Pd: 0.191 0.191 0.473
Pd: 0.282 0.809 0.000
Pd: 0.355 0.355 0.267
Pd: 0.645 0.912 0.000
Pd: 0.718 0.718 0.527
Pd: 0.809 0.282 0.000
Pd: 0.912 0.645 0.000
Au: 0.250 0.750 0.500
Au: 0.500 0.500 0.000
Au: 0.750 0.250 0.500

Density functional theory data (PBE-GGA) for crystalline Zn2PdAu3 at its relaxed geometry.

The density is 13.4 g/cm³. As for the total energy: -3.118 eV/atom. The density of states at the Fermi level comes out at 3.74 states/eV/cell. The magnetic moment is 0.0000 μB/atom. The space group is Ibam, No. 72. Its crystal system is orthorhombic.

a = 7.773 Å, b = 7.773 Å, c = 7.773 Å
α = 138.28°, β = 60.50°, γ = 138.24°
Fractional coordinates of all 12 atoms:
Zn: 0.137 0.233 0.371
Zn: 0.363 0.733 0.096
Zn: 0.637 0.267 0.904
Zn: 0.863 0.767 0.629
Pd: 0.250 0.250 0.000
Pd: 0.750 0.750 0.000
Au: 0.172 0.750 0.921
Au: 0.250 0.750 0.500
Au: 0.328 0.250 0.578
Au: 0.672 0.750 0.422
Au: 0.750 0.250 0.500
Au: 0.828 0.250 0.079

Density functional theory data (PBE-GGA) for crystalline Zn2Pd7Au3 at its relaxed geometry.

The density is 12.5 g/cm³. As for the total energy: -4.172 eV/atom. The density of states at the Fermi level comes out at 8.96 states/eV/cell. The magnetic moment is 0.0000 μB/atom. The space group is P2/m, No. 10. Its crystal system is monoclinic.

a = 4.734 Å, b = 2.814 Å, c = 14.612 Å
α = 90.00°, β = 91.97°, γ = 90.00°
Fractional coordinates of all 12 atoms:
Zn: 0.247 0.000 0.295
Zn: 0.753 0.000 0.705
Pd: 0.000 0.500 0.000
Pd: 0.153 0.000 0.829
Pd: 0.246 0.000 0.461
Pd: 0.352 0.500 0.158
Pd: 0.648 0.500 0.842
Pd: 0.754 0.000 0.539
Pd: 0.847 0.000 0.171
Au: 0.254 0.500 0.642
Au: 0.500 0.000 0.000
Au: 0.746 0.500 0.358

Density functional theory data (PBE-GGA) for crystalline Zn3PdAu4 at its relaxed geometry.

The density is 13.8 g/cm³. As for the total energy: -2.982 eV/atom. The density of states at the Fermi level comes out at 4.90 states/eV/cell. The magnetic moment is 0.0000 μB/atom. The space group is Pmma, No. 51. Its crystal system is orthorhombic.

a = 9.304 Å, b = 5.921 Å, c = 4.750 Å
α = 90.00°, β = 90.00°, γ = 90.00°
Fractional coordinates of all 16 atoms:
Zn: 0.000 0.000 0.000
Zn: 0.250 0.000 0.384
Zn: 0.250 0.500 0.371
Zn: 0.500 0.000 0.000
Zn: 0.750 0.000 0.616
Zn: 0.750 0.500 0.629
Pd: 0.000 0.500 0.000
Pd: 0.500 0.500 0.000
Au: 0.000 0.245 0.500
Au: 0.000 0.755 0.500
Au: 0.250 0.245 0.885
Au: 0.250 0.755 0.885
Au: 0.500 0.245 0.500
Au: 0.500 0.755 0.500
Au: 0.750 0.245 0.115
Au: 0.750 0.755 0.115

Density functional theory data (PBE-GGA) for crystalline Zn3Pd2Au6 at its relaxed geometry.

The density is 14.5 g/cm³. As for the total energy: -3.293 eV/atom. The density of states at the Fermi level comes out at 3.07 states/eV/cell. The magnetic moment is 0.0000 μB/atom. The space group is P-1, No. 2. Its crystal system is triclinic.

a = 4.926 Å, b = 6.516 Å, c = 6.550 Å
α = 108.49°, β = 106.38°, γ = 100.32°
Fractional coordinates of all 11 atoms:
Zn: 0.000 0.000 0.000
Zn: 0.103 0.792 0.349
Zn: 0.897 0.208 0.651
Pd: 0.261 0.436 0.084
Pd: 0.739 0.564 0.916
Au: 0.190 0.632 0.736
Au: 0.343 0.253 0.443
Au: 0.428 0.089 0.802
Au: 0.572 0.911 0.198
Au: 0.657 0.747 0.557
Au: 0.810 0.368 0.264

Density functional theory data (PBE-GGA) for crystalline Zn5Pd6Au at its relaxed geometry.

The density is 10.8 g/cm³. As for the total energy: -3.906 eV/atom. The density of states at the Fermi level comes out at 2.13 states/eV/cell. The magnetic moment is 0.0000 μB/atom. The space group is Immm, No. 71. Its crystal system is orthorhombic.

a = 7.365 Å, b = 7.365 Å, c = 7.365 Å
α = 147.17°, β = 123.58°, γ = 66.83°
Fractional coordinates of all 12 atoms:
Zn: 0.000 0.000 0.000
Zn: 0.174 0.674 0.500
Zn: 0.343 0.343 0.000
Zn: 0.657 0.657 0.000
Zn: 0.826 0.326 0.500
Pd: 0.063 0.829 0.234
Pd: 0.226 0.500 0.726
Pd: 0.405 0.171 0.234
Pd: 0.595 0.829 0.766
Pd: 0.774 0.500 0.274
Pd: 0.937 0.171 0.766
Au: 0.500 0.000 0.500

Density functional theory data (PBE-GGA) for crystalline Zn3Pd3Au2 at its relaxed geometry.

The density is 12.2 g/cm³. As for the total energy: -3.619 eV/atom. The density of states at the Fermi level comes out at 2.00 states/eV/cell. The magnetic moment is 0.0000 μB/atom. The space group is Pmmm, No. 47. Its crystal system is orthorhombic.

a = 3.848 Å, b = 4.090 Å, c = 7.886 Å
α = 90.00°, β = 90.00°, γ = 90.00°
Fractional coordinates of all 8 atoms:
Zn: 0.000 0.000 0.000
Zn: 0.000 0.500 0.266
Zn: 0.000 0.500 0.734
Pd: 0.000 0.000 0.500
Pd: 0.500 0.500 0.000
Pd: 0.500 0.500 0.500
Au: 0.500 0.000 0.244
Au: 0.500 0.000 0.756

Density functional theory data (PBE-GGA) for crystalline ZnPd8Au2 at its relaxed geometry.

The density is 11.8 g/cm³. As for the total energy: -4.466 eV/atom. The density of states at the Fermi level comes out at 11.86 states/eV/cell. The magnetic moment is 0.0000 μB/atom. The space group is Cmmm, No. 65. Its crystal system is orthorhombic.

a = 6.686 Å, b = 6.686 Å, c = 4.290 Å
α = 90.00°, β = 90.00°, γ = 105.89°
Fractional coordinates of all 11 atoms:
Zn: 0.000 0.000 0.000
Pd: 0.038 0.296 0.500
Pd: 0.233 0.767 0.000
Pd: 0.296 0.038 0.500
Pd: 0.324 0.324 0.000
Pd: 0.676 0.676 0.000
Pd: 0.704 0.962 0.500
Pd: 0.767 0.233 0.000
Pd: 0.962 0.704 0.500
Au: 0.374 0.626 0.500
Au: 0.626 0.374 0.500

Density functional theory data (PBE-GGA) for crystalline Zn2PdAu7 at its relaxed geometry.

The density is 12.5 g/cm³. As for the total energy: -2.966 eV/atom. The density of states at the Fermi level comes out at 3.39 states/eV/cell. The magnetic moment is 0.0000 μB/atom. The space group is Cmmm, No. 65. Its crystal system is orthorhombic.

a = 7.777 Å, b = 7.777 Å, c = 4.199 Å
α = 90.00°, β = 90.00°, γ = 122.34°
Fractional coordinates of all 10 atoms:
Zn: 0.192 0.808 0.000
Zn: 0.808 0.192 0.000
Pd: 0.500 0.500 0.500
Au: 0.000 0.000 0.000
Au: 0.204 0.418 0.000
Au: 0.298 0.702 0.500
Au: 0.418 0.204 0.000
Au: 0.582 0.796 0.000
Au: 0.702 0.298 0.500
Au: 0.796 0.582 0.000

Density functional theory data (PBE-GGA) for crystalline Zn8Pd3Au2 at its relaxed geometry.

The density is 9.9 g/cm³. As for the total energy: -2.684 eV/atom. The density of states at the Fermi level comes out at 5.26 states/eV/cell. The magnetic moment is 0.0000 μB/atom. The space group is R-3m, No. 166. Its crystal system is trigonal.

a = 9.920 Å, b = 9.920 Å, c = 9.920 Å
α = 29.34°, β = 29.34°, γ = 29.34°
Fractional coordinates of all 13 atoms:
Zn: 0.223 0.223 0.223
Zn: 0.224 0.224 0.722
Zn: 0.224 0.722 0.224
Zn: 0.278 0.776 0.776
Zn: 0.722 0.224 0.224
Zn: 0.776 0.278 0.776
Zn: 0.776 0.776 0.278
Zn: 0.777 0.777 0.777
Pd: 0.313 0.313 0.313
Pd: 0.500 0.500 0.500
Pd: 0.687 0.687 0.687
Au: 0.136 0.136 0.136
Au: 0.864 0.864 0.864

Density functional theory data (PBE-GGA) for crystalline ZnPd2Au2 at its relaxed geometry.

The density is 13.8 g/cm³. As for the total energy: -3.884 eV/atom. The density of states at the Fermi level comes out at 3.34 states/eV/cell. The magnetic moment is 0.0000 μB/atom. The space group is C2/m, No. 12. Its crystal system is monoclinic.

a = 4.927 Å, b = 4.927 Å, c = 9.047 Å
α = 90.11°, β = 90.11°, γ = 47.47°
Fractional coordinates of all 10 atoms:
Zn: 0.245 0.245 0.242
Zn: 0.755 0.755 0.758
Pd: 0.349 0.349 0.948
Pd: 0.448 0.448 0.653
Pd: 0.552 0.552 0.347
Pd: 0.651 0.651 0.052
Au: 0.053 0.053 0.850
Au: 0.151 0.151 0.552
Au: 0.849 0.849 0.448
Au: 0.947 0.947 0.150

Density functional theory data (PBE-GGA) for crystalline ZnPd4Au7 at its relaxed geometry.

The density is 14.1 g/cm³. As for the total energy: -3.701 eV/atom. The density of states at the Fermi level comes out at 4.58 states/eV/cell. The magnetic moment is 0.0000 μB/atom. The space group is C2/m, No. 12. Its crystal system is monoclinic.

a = 5.676 Å, b = 5.676 Å, c = 10.086 Å
α = 116.82°, β = 116.82°, γ = 51.49°
Fractional coordinates of all 12 atoms:
Zn: 0.000 0.000 0.000
Pd: 0.273 0.273 0.692
Pd: 0.417 0.417 0.228
Pd: 0.583 0.583 0.772
Pd: 0.727 0.727 0.308
Au: 0.041 0.041 0.378
Au: 0.197 0.197 0.920
Au: 0.344 0.344 0.458
Au: 0.500 0.500 0.000
Au: 0.656 0.656 0.542
Au: 0.803 0.803 0.080
Au: 0.959 0.959 0.622

Density functional theory data (PBE-GGA) for crystalline Zn7Pd3Au at its relaxed geometry.

The density is 9.0 g/cm³. As for the total energy: -2.770 eV/atom. The density of states at the Fermi level comes out at 3.23 states/eV/cell. The magnetic moment is 0.0000 μB/atom. The space group is C2/m, No. 12. Its crystal system is monoclinic.

a = 6.629 Å, b = 6.629 Å, c = 4.763 Å
α = 110.89°, β = 110.89°, γ = 90.27°
Fractional coordinates of all 11 atoms:
Zn: 0.000 0.000 0.000
Zn: 0.092 0.568 0.330
Zn: 0.325 0.325 0.824
Zn: 0.432 0.908 0.670
Zn: 0.568 0.092 0.330
Zn: 0.675 0.675 0.176
Zn: 0.908 0.432 0.670
Pd: 0.274 0.726 0.000
Pd: 0.500 0.500 0.500
Pd: 0.726 0.274 0.000
Au: 0.000 0.000 0.500

Density functional theory data (PBE-GGA) for crystalline Zn7Pd3Au at its relaxed geometry.

The density is 8.0 g/cm³. As for the total energy: -2.707 eV/atom. The density of states at the Fermi level comes out at 6.81 states/eV/cell. The magnetic moment is 0.0000 μB/atom. The space group is Cmcm, No. 63. Its crystal system is orthorhombic.

a = 17.129 Å, b = 17.129 Å, c = 8.333 Å
α = 90.00°, β = 90.00°, γ = 170.47°
Fractional coordinates of all 22 atoms:
Zn: 0.032 0.968 0.750
Zn: 0.033 0.967 0.079
Zn: 0.033 0.967 0.421
Zn: 0.141 0.859 0.030
Zn: 0.141 0.859 0.470
Zn: 0.225 0.775 0.073
Zn: 0.225 0.775 0.427
Zn: 0.775 0.225 0.573
Zn: 0.775 0.225 0.927
Zn: 0.859 0.141 0.530
Zn: 0.859 0.141 0.970
Zn: 0.967 0.033 0.579
Zn: 0.967 0.033 0.921
Zn: 0.968 0.032 0.250
Pd: 0.322 0.678 0.750
Pd: 0.415 0.585 0.087
Pd: 0.415 0.585 0.413
Pd: 0.585 0.415 0.587
Pd: 0.585 0.415 0.913
Pd: 0.678 0.322 0.250
Au: 0.411 0.589 0.750
Au: 0.589 0.411 0.250

Density functional theory data (PBE-GGA) for crystalline Zn5Pd2Au2 at its relaxed geometry.

The density is 11.1 g/cm³. As for the total energy: -2.908 eV/atom. The density of states at the Fermi level comes out at 2.61 states/eV/cell. The magnetic moment is 0.0000 μB/atom. The space group is P-1, No. 2. Its crystal system is triclinic.

a = 4.802 Å, b = 4.903 Å, c = 6.305 Å
α = 83.49°, β = 73.05°, γ = 79.50°
Fractional coordinates of all 9 atoms:
Zn: 0.000 0.000 0.000
Zn: 0.320 0.655 0.660
Zn: 0.413 0.875 0.230
Zn: 0.587 0.125 0.770
Zn: 0.680 0.345 0.340
Pd: 0.162 0.187 0.575
Pd: 0.838 0.813 0.425
Au: 0.226 0.415 0.122
Au: 0.774 0.585 0.878

Density functional theory data (PBE-GGA) for crystalline Zn2PdAu2 at its relaxed geometry.

The density is 12.1 g/cm³. As for the total energy: -2.918 eV/atom. The density of states at the Fermi level comes out at 1.32 states/eV/cell. The magnetic moment is 0.0000 μB/atom. The space group is I4/mmm, No. 139. Its crystal system is tetragonal.

a = 7.021 Å, b = 7.021 Å, c = 7.021 Å
α = 149.91°, β = 149.91°, γ = 43.07°
Fractional coordinates of all 5 atoms:
Zn: 0.250 0.750 0.500
Zn: 0.750 0.250 0.500
Pd: 0.000 0.000 0.000
Au: 0.395 0.395 0.000
Au: 0.605 0.605 0.000

Density functional theory data (PBE-GGA) for crystalline ZnPdAu2 at its relaxed geometry.

The density is 14.2 g/cm³. As for the total energy: -3.461 eV/atom. The density of states at the Fermi level comes out at 1.52 states/eV/cell. The magnetic moment is 0.0000 μB/atom. The space group is F-43m, No. 216. Its crystal system is cubic.

a = 4.540 Å, b = 4.540 Å, c = 4.540 Å
α = 60.00°, β = 60.00°, γ = 60.00°
Fractional coordinates of all 4 atoms:
Zn: 0.000 0.000 0.000
Pd: 0.250 0.250 0.250
Au: 0.500 0.500 0.500
Au: 0.750 0.750 0.750

Density functional theory data (PBE-GGA) for crystalline ZnPd2Au5 at its relaxed geometry.

The density is 15.5 g/cm³. As for the total energy: -3.681 eV/atom. The density of states at the Fermi level comes out at 6.91 states/eV/cell. The magnetic moment is 0.0000 μB/atom. The space group is Pbam, No. 55. Its crystal system is orthorhombic.

a = 5.787 Å, b = 11.561 Å, c = 4.040 Å
α = 90.00°, β = 90.00°, γ = 90.00°
Fractional coordinates of all 16 atoms:
Zn: 0.000 0.000 0.000
Zn: 0.500 0.500 0.000
Pd: 0.235 0.119 0.500
Pd: 0.265 0.619 0.500
Pd: 0.735 0.381 0.500
Pd: 0.765 0.881 0.500
Au: 0.000 0.500 0.000
Au: 0.009 0.754 0.000
Au: 0.243 0.375 0.500
Au: 0.257 0.875 0.500
Au: 0.491 0.254 0.000
Au: 0.500 0.000 0.000
Au: 0.509 0.746 0.000
Au: 0.743 0.125 0.500
Au: 0.757 0.625 0.500
Au: 0.991 0.246 0.000

Density functional theory data (PBE-GGA) for crystalline Zn4PdAu7 at its relaxed geometry.

The density is 13.0 g/cm³. As for the total energy: -2.810 eV/atom. The density of states at the Fermi level comes out at 2.74 states/eV/cell. The magnetic moment is 0.0000 μB/atom. The space group is C2/m, No. 12. Its crystal system is monoclinic.

a = 6.103 Å, b = 6.103 Å, c = 9.324 Å
α = 118.85°, β = 118.85°, γ = 49.23°
Fractional coordinates of all 12 atoms:
Zn: 0.085 0.085 0.281
Zn: 0.229 0.229 0.824
Zn: 0.771 0.771 0.176
Zn: 0.915 0.915 0.719
Pd: 0.500 0.500 0.500
Au: 0.000 0.000 0.500
Au: 0.137 0.137 0.038
Au: 0.295 0.295 0.597
Au: 0.420 0.420 0.163
Au: 0.580 0.580 0.837
Au: 0.705 0.705 0.403
Au: 0.863 0.863 0.962